1.
# NbTlS2

A geometry-optimized NbTlS2 structure (PBE, Alexandria).

Geometry as POSCAR:
```
NbTlS2
1.0
-1.979 0.799 3.042
3.366 -1.540 0.325
3.527 7.762 0.258
Nb S Tl
1 2 1
direct
0.333 0.667 0.456
0.333 0.667 0.723
0.667 0.333 0.321
0.000 0.000 0.955
```

Values from the calculation:
space-group type	P3m1
uncorrected formation energy	-428	meV per atom
DFT total energy	-22.4	eV for the cell shown

2.
# NbTlS2

A geometry-optimized NbTlS2 structure (PBE, Alexandria).

Geometry as POSCAR:
```
NbTlS2
1.0
-11.104 13.220 8.084
-4.883 -3.490 2.493
3.530 -2.219 4.985
Nb S Tl
8 16 8
direct
0.327 0.518 0.128
0.814 0.389 0.492
0.673 0.482 0.872
0.314 0.008 0.111
0.686 0.992 0.889
0.173 0.628 0.018
0.827 0.372 0.982
0.186 0.611 0.508
0.250 0.344 0.844
0.755 0.679 0.697
0.076 0.661 0.208
0.424 0.708 0.161
0.250 0.794 0.294
0.924 0.339 0.792
0.081 0.719 0.675
0.581 0.825 0.781
0.750 0.656 0.156
0.919 0.281 0.325
0.245 0.321 0.303
0.576 0.292 0.839
0.419 0.175 0.219
0.255 0.803 0.821
0.750 0.206 0.706
0.745 0.197 0.179
0.411 0.193 0.697
0.416 0.691 0.671
0.584 0.309 0.329
0.084 0.171 0.191
0.589 0.807 0.303
0.911 0.803 0.307
0.916 0.829 0.809
0.089 0.197 0.693
```

Values from the calculation:
space-group type	C2/c
uncorrected formation energy	-628	meV per atom
DFT total energy	-185.6	eV for the cell shown

3.
# NbTl2S4

A geometry-optimized NbTl2S4 structure (PBE, Alexandria).

Geometry as POSCAR:
```
NbTl2S4
1.0
-1.701 1.080 2.937
2.793 -6.527 4.018
3.928 6.902 -2.422
S Tl Nb
4 2 1
direct
0.641 0.221 0.283
0.963 0.243 0.926
0.037 0.757 0.074
0.359 0.779 0.717
0.355 0.394 0.710
0.645 0.606 0.290
0.000 0.000 0.000
```

Values from the calculation:
space-group type	C2/m
uncorrected formation energy	-471	meV per atom
DFT total energy	-34.6	eV for the cell shown

4.
# NbTlS2

A geometry-optimized NbTlS2 structure (PBE, Alexandria).

Geometry as POSCAR:
```
NbTlS2
1.0
9.160 -0.027 -0.043
1.328 3.212 0.000
0.398 -0.164 6.094
Tl S Nb
2 4 2
direct
0.127 0.504 0.696
0.284 0.848 0.165
0.856 0.275 0.835
0.555 0.077 0.025
0.909 0.722 0.323
0.502 0.629 0.537
0.698 0.933 0.628
0.713 0.418 0.232
```

Values from the calculation:
space-group type	P2_1/m
uncorrected formation energy	-821	meV per atom
DFT total energy	-47.9	eV for the cell shown

Number 1: magnetic moment 0.00 μB/atom. Number 2: magnetic moment 0.00 μB/atom. Number 3: magnetic moment 0.00 μB/atom. Number 4: magnetic moment 0.00 μB/atom.